(1)
A relaxed structure of La2TlGaRu. Source: Alexandria, functional PBE-GGA.

```
La2TlGaRu
1.0
5.432 0.000 0.000
0.000 5.432 0.000
0.000 0.000 4.925
La Tl Ga Ru
2 1 1 1
Direct
0.000 0.500 0.000 La
0.500 0.000 0.000 La
0.000 0.000 0.500 Tl
0.500 0.500 0.500 Ga
0.500 0.500 0.000 Ru
```

Computed properties:
M_tot in μB/cell: 0.00
VASP energy in eV per atom: -5.272

(2)
A relaxed structure of P3HIr. Source: Alexandria, functional PBE-GGA.

```
P3HIr
1.0
4.629 0.000 0.000
0.000 4.629 0.000
0.000 0.000 4.629
P H Ir
3 1 1
Direct
0.000 0.000 0.500 P
0.000 0.500 0.000 P
0.500 0.000 0.000 P
0.500 0.500 0.500 H
0.000 0.000 0.000 Ir
```

Computed properties:
M_tot in μB/cell: 0.00
Energy above the most stable polymorph in this dataset in eV/f.u.: 2.332
VASP energy in eV per atom: -4.465

(3)
A relaxed structure of MnP2WCl. Source: Alexandria, functional PBE-GGA.

```
MnP2WCl
1.0
4.520 0.000 0.000
0.000 4.520 0.000
0.000 0.000 4.476
Mn P W Cl
1 2 1 1
Direct
0.000 0.000 0.000 Mn
0.000 0.500 0.000 P
0.500 0.000 0.000 P
0.500 0.500 0.500 W
0.000 0.000 0.500 Cl
```

Computed properties:
M_tot in μB/cell: 5.98
Energy above the most stable polymorph in this dataset in eV/f.u.: 2.409
VASP energy in eV per atom: -5.900
Formation energy (no corrections) in eV/atom: 1.06

(4)
A relaxed structure of Pr2ErAg. Source: Alexandria, functional PBE-GGA.

```
Pr2ErAg
1.0
3.663 0.000 0.000
-1.831 3.172 0.000
0.000 0.000 32.030
Pr Er Ag
6 3 3
Direct
0.000 0.000 0.000 Pr
0.000 0.000 0.180 Pr
0.333 0.667 0.667 Pr
0.333 0.667 0.847 Pr
0.667 0.333 0.333 Pr
0.667 0.333 0.514 Pr
0.000 0.000 0.757 Er
0.333 0.667 0.424 Er
0.667 0.333 0.091 Er
0.000 0.000 0.589 Ag
0.333 0.667 0.256 Ag
0.667 0.333 0.923 Ag
```

Computed properties:
M_tot in μB/cell: 0.00
Energy above the most stable polymorph in this dataset in eV/f.u.: 0.386
VASP energy in eV per atom: -4.234

(5)
A relaxed structure of PPt. Source: Alexandria, functional PBE-GGA.

```
PPt
1.0
3.647 0.000 0.000
-1.824 3.159 0.000
0.000 0.000 18.760
P Pt
6 6
Direct
0.000 0.000 0.103 P
0.000 0.000 0.897 P
0.333 0.667 0.279 P
0.333 0.667 0.398 P
0.667 0.333 0.602 P
0.667 0.333 0.721 P
0.000 0.000 0.231 Pt
0.000 0.000 0.769 Pt
0.333 0.667 0.553 Pt
0.333 0.667 0.949 Pt
0.667 0.333 0.051 Pt
0.667 0.333 0.447 Pt
```

Computed properties:
M_tot in μB/cell: 0.00
VASP energy in eV per atom: -6.143

(6)
A relaxed structure of NiGeBr. Source: Alexandria, functional PBE-GGA.

```
NiGeBr
1.0
10.699 0.000 0.000
0.000 3.524 0.000
0.000 0.000 6.129
Ni Ge Br
4 4 4
Direct
0.117 0.000 0.000 Ni
0.117 0.500 0.500 Ni
0.883 0.000 0.000 Ni
0.883 0.500 0.500 Ni
0.000 0.000 0.667 Ge
0.000 0.500 0.167 Ge
0.500 0.000 0.722 Ge
0.500 0.500 0.222 Ge
0.268 0.000 0.322 Br
0.268 0.500 0.822 Br
0.732 0.000 0.322 Br
0.732 0.500 0.822 Br
```

Computed properties:
M_tot in μB/cell: 0.00
Energy above the most stable polymorph in this dataset in eV/f.u.: 0.767
VASP energy in eV per atom: -4.058
Formation energy (no corrections) in eV/atom: -0.03

(7)
A relaxed structure of CoWSN2. Source: Alexandria, functional PBE-GGA.

```
CoWSN2
1.0
3.659 0.000 0.000
0.000 3.659 0.000
0.000 0.000 4.354
Co W S N
1 1 1 2
Direct
0.000 0.000 0.000 Co
0.500 0.500 0.500 W
0.000 0.000 0.500 S
0.000 0.500 0.000 N
0.500 0.000 0.000 N
```

Computed properties:
M_tot in μB/cell: 0.44
Energy above the most stable polymorph in this dataset in eV/f.u.: 3.458
VASP energy in eV per atom: -6.856
Formation energy (no corrections) in eV/atom: 1.31

(8)
A relaxed structure of TbSm2Se4. Source: Alexandria, functional PBE-GGA.

```
TbSm2Se4
1.0
-4.146 4.160 5.771
4.146 -4.160 5.771
4.146 4.160 -5.771
Tb Sm Se
2 4 8
Direct
0.500 0.000 0.000 Tb
0.500 0.500 0.500 Tb
0.000 0.000 0.000 Sm
0.000 0.000 0.500 Sm
0.000 0.500 0.000 Sm
0.500 0.000 0.500 Sm
0.248 0.744 0.504 Se
0.252 0.251 0.498 Se
0.252 0.754 0.002 Se
0.260 0.256 0.004 Se
0.740 0.744 0.996 Se
0.748 0.246 0.998 Se
0.748 0.749 0.502 Se
0.752 0.256 0.496 Se
```

Computed properties:
M_tot in μB/cell: 0.00
Energy above the most stable polymorph in this dataset in eV/f.u.: 0.000
VASP energy in eV per atom: -5.878
Formation energy (no corrections) in eV/atom: -1.88

(9)
A relaxed structure of Tb3Ho2Th4. Source: Alexandria, functional PBE-GGA.

```
Tb3Ho2Th4
1.0
7.522 -2.520 0.000
7.522 2.520 0.000
-2.571 0.000 7.599
Tb Ho Th
3 2 4
Direct
0.000 0.000 0.000 Tb
0.115 0.115 0.670 Tb
0.885 0.885 0.330 Tb
0.441 0.441 0.667 Ho
0.559 0.559 0.333 Ho
0.223 0.223 0.333 Th
0.331 0.331 0.996 Th
0.669 0.669 0.004 Th
0.777 0.777 0.667 Th
```

Computed properties:
M_tot in μB/cell: 0.00
VASP energy in eV per atom: -5.823

(10)
A relaxed structure of YZn6Ni4. Source: Alexandria, functional PBE-GGA.

```
YZn6Ni4
1.0
-3.130 3.130 4.496
3.130 -3.130 4.496
3.130 3.130 -4.496
Y Zn Ni
1 6 4
Direct
0.000 0.000 0.000 Y
0.000 0.500 0.500 Zn
0.104 0.485 0.000 Zn
0.485 0.104 0.000 Zn
0.500 0.000 0.500 Zn
0.515 0.515 0.619 Zn
0.896 0.896 0.381 Zn
0.264 0.264 0.674 Ni
0.410 0.736 0.000 Ni
0.590 0.590 0.326 Ni
0.736 0.410 0.000 Ni
```

Computed properties:
M_tot in μB/cell: 0.00
VASP energy in eV per atom: -3.548

(11)
A relaxed structure of BaGa6Ag2. Source: Alexandria, functional PBE-GGA.

```
BaGa6Ag2
1.0
-2.232 3.770 5.932
2.232 -3.770 5.932
2.232 3.770 -5.932
Ba Ga Ag
1 6 2
Direct
0.000 0.000 0.000 Ba
0.002 0.699 0.303 Ga
0.333 0.500 0.833 Ga
0.396 0.699 0.697 Ga
0.604 0.301 0.303 Ga
0.667 0.500 0.167 Ga
0.998 0.301 0.697 Ga
0.384 0.884 0.500 Ag
0.616 0.116 0.500 Ag
```

Computed properties:
M_tot in μB/cell: 0.00
VASP energy in eV per atom: -3.037

(12)
A relaxed structure of CuTc2Mo. Source: Alexandria, functional PBE-GGA.

```
CuTc2Mo
1.0
3.119 0.000 0.000
0.000 4.270 0.000
0.000 0.000 8.733
Cu Tc Mo
2 4 2
Direct
0.000 0.000 0.000 Cu
0.500 0.500 0.000 Cu
0.000 0.500 0.246 Tc
0.000 0.500 0.754 Tc
0.500 0.000 0.246 Tc
0.500 0.000 0.754 Tc
0.000 0.000 0.500 Mo
0.500 0.500 0.500 Mo
```

Computed properties:
M_tot in μB/cell: 0.00
Energy above the most stable polymorph in this dataset in eV/f.u.: 0.288
VASP energy in eV per atom: -8.695

(13)
A relaxed structure of Cd2ReAu. Source: Alexandria, functional PBE-GGA.

```
Cd2ReAu
1.0
2.918 0.000 0.000
0.000 5.046 0.000
0.000 0.000 9.890
Cd Re Au
4 2 2
Direct
0.000 0.000 0.249 Cd
0.000 0.000 0.751 Cd
0.500 0.500 0.251 Cd
0.500 0.500 0.749 Cd
0.000 0.500 0.000 Re
0.500 0.000 0.500 Re
0.000 0.500 0.500 Au
0.500 0.000 0.000 Au
```

Computed properties:
M_tot in μB/cell: 0.00
Energy above the most stable polymorph in this dataset in eV/f.u.: 0.747
VASP energy in eV per atom: -3.876

(14)
A relaxed structure of CaPr3Nd4. Source: Alexandria, functional PBE-GGA.

```
CaPr3Nd4
1.0
26.710 0.000 0.000
0.000 5.883 0.000
-0.004 0.000 3.728
Ca Pr Nd
2 6 8
Direct
0.000 0.000 0.000 Ca
0.500 0.500 0.000 Ca
0.000 0.500 0.500 Pr
0.150 0.500 0.001 Pr
0.350 0.000 0.999 Pr
0.500 0.000 0.500 Pr
0.650 0.000 0.001 Pr
0.850 0.500 0.999 Pr
0.104 0.000 0.501 Nd
0.224 0.000 0.501 Nd
0.276 0.500 0.499 Nd
0.396 0.500 0.499 Nd
0.604 0.500 0.501 Nd
0.724 0.500 0.501 Nd
0.776 0.000 0.499 Nd
0.896 0.000 0.499 Nd
```

Computed properties:
M_tot in μB/cell: 0.00
VASP energy in eV per atom: -4.232

(15)
A relaxed structure of Be2NiSb. Source: Alexandria, functional PBE-GGA.

```
Be2NiSb
1.0
3.145 0.000 0.000
0.000 3.282 0.000
0.000 0.000 5.059
Be Ni Sb
2 1 1
Direct
0.000 0.000 0.208 Be
0.000 0.000 0.792 Be
0.500 0.500 0.000 Ni
0.500 0.500 0.500 Sb
```

Computed properties:
M_tot in μB/cell: 0.00
VASP energy in eV per atom: -4.123
Formation energy (no corrections) in eV/atom: 0.22

(16)
A relaxed structure of HoSnSe. Source: Alexandria, functional PBE-GGA.

```
HoSnSe
1.0
3.827 0.000 0.000
-1.914 3.314 0.000
0.000 0.000 13.013
Ho Sn Se
2 2 2
Direct
0.000 0.000 0.184 Ho
0.000 0.000 0.816 Ho
0.000 0.000 0.500 Sn
0.667 0.333 0.000 Sn
0.667 0.333 0.315 Se
0.667 0.333 0.685 Se
```

Computed properties:
M_tot in μB/cell: 0.00
VASP energy in eV per atom: -4.878
Formation energy (no corrections) in eV/atom: -0.86

(17)
A relaxed structure of SrAc2Co. Source: Alexandria, functional PBE-GGA.

```
SrAc2Co
1.0
3.760 0.000 0.000
0.000 3.760 0.000
0.000 0.000 10.418
Sr Ac Co
1 2 1
Direct
0.000 0.000 0.000 Sr
0.500 0.500 0.335 Ac
0.500 0.500 0.665 Ac
0.000 0.000 0.500 Co
```

Computed properties:
M_tot in μB/cell: 0.55
Energy above the most stable polymorph in this dataset in eV/f.u.: 0.627
VASP energy in eV per atom: -4.121

(18)
A relaxed structure of Li3La3Au2. Source: Alexandria, functional PBE-GGA.

```
Li3La3Au2
1.0
7.981 0.000 0.000
0.000 17.517 0.000
0.000 0.000 5.846
Li La Au
12 12 8
Direct
0.164 0.031 0.095 Li
0.164 0.469 0.095 Li
0.188 0.750 0.134 Li
0.312 0.250 0.634 Li
0.336 0.531 0.595 Li
0.336 0.969 0.595 Li
0.664 0.031 0.405 Li
0.664 0.469 0.405 Li
0.688 0.750 0.366 Li
0.812 0.250 0.866 Li
0.836 0.531 0.905 Li
0.836 0.969 0.905 Li
0.019 0.110 0.603 La
0.019 0.390 0.603 La
0.153 0.250 0.138 La
0.347 0.750 0.638 La
0.481 0.610 0.103 La
0.481 0.890 0.103 La
0.519 0.110 0.897 La
0.519 0.390 0.897 La
0.653 0.250 0.362 La
0.847 0.750 0.862 La
0.981 0.610 0.397 La
0.981 0.890 0.397 La
0.127 0.616 0.892 Au
0.127 0.884 0.892 Au
0.373 0.116 0.392 Au
0.373 0.384 0.392 Au
0.627 0.616 0.608 Au
0.627 0.884 0.608 Au
0.873 0.116 0.108 Au
0.873 0.384 0.108 Au
```

Computed properties:
M_tot in μB/cell: 0.00
VASP energy in eV per atom: -3.772

(19)
A relaxed structure of Ca2AgPt. Source: Alexandria, functional PBE-GGA.

```
Ca2AgPt
1.0
11.735 0.000 0.000
0.000 3.752 0.000
-1.895 0.000 4.333
Ca Ag Pt
4 2 2
Direct
0.000 0.000 0.000 Ca
0.212 0.000 0.710 Ca
0.500 0.500 0.000 Ca
0.712 0.500 0.710 Ca
0.285 0.500 0.284 Ag
0.785 0.000 0.284 Ag
0.486 0.000 0.486 Pt
0.986 0.500 0.486 Pt
```

Computed properties:
M_tot in μB/cell: 0.00
VASP energy in eV per atom: -3.728

(20)
A relaxed structure of HgRu2CBr. Source: Alexandria, functional PBE-GGA.

```
HgRu2CBr
1.0
5.219 0.000 0.000
0.000 5.219 0.000
0.000 0.000 5.394
Hg Ru C Br
1 2 1 1
Direct
0.000 0.000 0.000 Hg
0.000 0.500 0.000 Ru
0.500 0.000 0.000 Ru
0.500 0.500 0.500 C
0.000 0.000 0.500 Br
```

Computed properties:
M_tot in μB/cell: 6.81
VASP energy in eV per atom: -2.751
Formation energy (no corrections) in eV/atom: 3.20

(21)
A relaxed structure of Nd6Y8Sc. Source: Alexandria, functional PBE-GGA.

```
Nd6Y8Sc
1.0
4.562 2.634 6.966
-4.562 2.634 6.966
0.000 -5.268 6.966
Nd Y Sc
6 8 1
Direct
0.042 0.728 0.602 Nd
0.272 0.398 0.958 Nd
0.398 0.958 0.272 Nd
0.602 0.042 0.728 Nd
0.728 0.602 0.042 Nd
0.958 0.272 0.398 Nd
0.077 0.077 0.077 Y
0.217 0.253 0.611 Y
0.253 0.611 0.217 Y
0.389 0.783 0.747 Y
0.611 0.217 0.253 Y
0.747 0.389 0.783 Y
0.783 0.747 0.389 Y
0.923 0.923 0.923 Y
0.500 0.500 0.500 Sc
```

Computed properties:
M_tot in μB/cell: 0.00
Energy above the most stable polymorph in this dataset in eV/f.u.: 0.000
VASP energy in eV per atom: -5.665

(22)
A relaxed structure of TbSmPuTh. Source: Alexandria, functional PBE-GGA.

```
TbSmPuTh
1.0
7.935 0.000 0.000
0.000 7.935 0.000
0.000 0.000 7.935
Tb Sm Pu Th
4 4 4 4
Direct
0.000 0.000 0.000 Tb
0.000 0.500 0.500 Tb
0.500 0.000 0.500 Tb
0.500 0.500 0.000 Tb
0.250 0.250 0.250 Sm
0.250 0.750 0.750 Sm
0.750 0.250 0.750 Sm
0.750 0.750 0.250 Sm
0.000 0.000 0.500 Pu
0.000 0.500 0.000 Pu
0.500 0.000 0.000 Pu
0.500 0.500 0.500 Pu
0.250 0.250 0.750 Th
0.250 0.750 0.250 Th
0.750 0.250 0.250 Th
0.750 0.750 0.750 Th
```

Computed properties:
M_tot in μB/cell: 32.78
VASP energy in eV per atom: -7.556

(23)
A relaxed structure of LaMoPb2. Source: Alexandria, functional PBE-GGA.

```
LaMoPb2
1.0
3.550 0.000 0.000
-1.775 3.075 0.000
0.000 0.000 30.492
La Mo Pb
3 3 6
Direct
0.000 0.000 0.000 La
0.333 0.667 0.667 La
0.667 0.333 0.333 La
0.000 0.000 0.264 Mo
0.333 0.667 0.931 Mo
0.667 0.333 0.597 Mo
0.000 0.000 0.530 Pb
0.000 0.000 0.768 Pb
0.333 0.667 0.197 Pb
0.333 0.667 0.434 Pb
0.667 0.333 0.101 Pb
0.667 0.333 0.863 Pb
```

Computed properties:
M_tot in μB/cell: 0.00
Energy above the most stable polymorph in this dataset in eV/f.u.: 1.150
VASP energy in eV per atom: -5.345

(24)
A relaxed structure of Mn2TlW. Source: Alexandria, functional PBE-GGA.

```
Mn2TlW
1.0
3.080 0.000 0.000
0.000 3.080 0.000
0.000 0.000 6.380
Mn Tl W
2 1 1
Direct
0.000 0.000 0.212 Mn
0.000 0.000 0.788 Mn
0.500 0.500 0.500 Tl
0.500 0.500 0.000 W
```

Computed properties:
M_tot in μB/cell: 0.98
Energy above the most stable polymorph in this dataset in eV/f.u.: 0.000
VASP energy in eV per atom: -7.952

(25)
A relaxed structure of Zn2Cu2Au3. Source: Alexandria, functional PBE-GGA.

```
Zn2Cu2Au3
1.0
2.873 0.000 0.000
1.379 6.294 0.000
0.129 2.369 6.115
Zn Cu Au
2 2 3
Direct
0.103 0.286 0.275 Zn
0.897 0.714 0.725 Zn
0.409 0.665 0.068 Cu
0.591 0.335 0.932 Cu
0.220 0.071 0.749 Au
0.500 0.500 0.500 Au
0.780 0.929 0.251 Au
```

Computed properties:
M_tot in μB/cell: 0.00
VASP energy in eV per atom: -3.026